No. 1
VASP calculation (GGA-PBE) on a relaxed HfTlBi2 crystal.

The space group is R3m (No. 160, hexagonal axes) and the conventional cell measures 3.9717, 3.9717 and 27.4072 Å, with angles of 90.00, 90.00 and 120.00 degrees. The inequivalent atoms are Hf at (0.0000, 0.0000, 0.0000), Tl at (0.0000, 0.0000, 0.1659), Bi at (0.0000, 0.0000, 0.4048) and Bi at (0.0000, 0.0000, 0.5962).

The energy of formation from the pure elements is 1 meV/atom. As for the calculated volume: 374.4 Å³ per cell. Its distance to the lowest polymorph of the same formula is 0.17 eV/f.u.


No. 2
VASP calculation (GGA-PBE) on a relaxed K6SF12 crystal.

The space group is R-3 (No. 148, hexagonal axes) and the conventional cell measures 11.7275, 11.7275 and 10.4886 Å, with angles of 90.00, 90.00 and 120.00 degrees. The inequivalent atoms are K at (0.0050, 0.2209, 0.1262), S at (0.0000, 0.0000, 0.5000), F at (0.0015, 0.2188, 0.8798) and F at (0.0204, 0.1201, 0.4121).

As for the calculated volume: 1249.3 Å³ per cell. The formation energy without anion corrections comes out at -2.286 eV/atom.


No. 3
VASP calculation (GGA-PBE) on a relaxed AcPr2Mg crystal.

The space group is R-3m (No. 166, hexagonal axes) and the conventional cell measures 3.6728, 3.6728 and 38.7471 Å, with angles of 90.00, 90.00 and 120.00 degrees. The inequivalent atoms are Ac at (0.0000, 0.0000, 0.0000), Pr at (0.0000, 0.0000, 0.4126) and Mg at (0.0000, 0.0000, 0.5000).

The energy of formation from the pure elements is 242 meV/atom. As for the calculated volume: 452.6 Å³ per cell. Its distance to the lowest polymorph of the same formula is 1.15 eV/f.u.